The following is a DFT calculation (GGA+U) of a geometry-optimized Cr2HgOsO structure.

Structure (POSCAR):
```
Cr2HgOsO
1.0
5.2676 0.0000 0.0000
0.0000 5.2676 0.0000
0.0000 0.0000 3.6990
Cr Hg Os O
2 1 1 1
Direct
0.0000 0.5000 0.0000
0.5000 0.0000 0.0000
0.0000 0.0000 0.5000
0.5000 0.5000 0.0000
0.5000 0.5000 0.5000
```

**Energy**: -5.92 eV/atom
**Space group**: No. 123